Density functional theory data (GGA-PBE) for a geometry-optimized Fe2BiS2 structure.

## Properties
ΔE_f (raw) in eV per atom: 0.19
Symmetry: I4/mmm
Magnetic moment in Bohr magnetons per cell: 0.000

abc: 5.349 5.349 5.349
angles: 134.01 134.01 67.08
Fractional positions:
Fe  0.148  0.148  0.000
Fe  0.852  0.852  0.000
Bi  0.500  0.500  0.000
S  0.250  0.750  0.500
S  0.750  0.250  0.500